CaMnGe2F | PBE with a Hubbard U | relaxed

Lattice parameters (Å, degrees): 4.929 4.929 4.379 90.00 90.00 90.00
Element x y z (fractional)
Ca: 0.000 0.000 0.000
Mn: 0.500 0.500 0.000
Ge: 0.000 0.500 0.500
Ge: 0.500 0.000 0.500
F: 0.000 0.000 0.500

Output
space group = P4/mmm, No. 123
magnetic moment = 0.894 μB/atom
calculated total energy = -0.3389 Ry/atom